1.
{"formula": "Pa2SeI", "functional": "PBE-GGA", "state": "optimized geometry", "magnetic_moment_mub_per_fu": 2.68, "formation_energy_uncorrected_ev_per_atom": -0.385, "dos_ef_per_ev_atom": 2.261, "space_group": "Fm-3m, No. 225", "rho_g_cm3": 11.251, "energy_ev_per_atom": -6.392, "cell": [[0.0000, 3.6666, 3.6666], [3.6666, 0.0000, 3.6666], [3.6666, 3.6666, 0.0000]], "species": ["Pa", "Pa", "Se", "I"], "frac_coords": [[0.2500, 0.2500, 0.2500], [0.7500, 0.7500, 0.7500], [0.0000, 0.0000, 0.0000], [0.5000, 0.5000, 0.5000]]}


2.
{"formula": "Pa2SeI", "functional": "PBE-GGA", "state": "optimized geometry", "magnetic_moment_mub_per_fu": 2.38, "formation_energy_uncorrected_ev_per_atom": -0.389, "dos_ef_per_ev_atom": 2.287, "space_group": "P4/mmm, No. 123", "rho_g_cm3": 11.284, "energy_ev_per_atom": -6.396, "cell": [[5.1790, 0.0000, 0.0000], [0.0000, 5.1790, 0.0000], [0.0000, 0.0000, 3.6646]], "species": ["Pa", "Pa", "Se", "I"], "frac_coords": [[0.0000, 0.5000, 0.0000], [0.5000, 0.0000, 0.0000], [0.0000, 0.0000, 0.5000], [0.5000, 0.5000, 0.5000]]}


3.
{"formula": "Pa2SeI", "functional": "PBE-GGA", "state": "optimized geometry", "magnetic_moment_mub_per_fu": 0.00, "formation_energy_uncorrected_ev_per_atom": -0.605, "dos_ef_per_ev_atom": 1.803, "space_group": "R-3m, No. 166", "rho_g_cm3": 10.730, "energy_ev_per_atom": -6.611, "cell": [[1.8338, 1.0588, 8.8729], [-1.8338, 1.0588, 8.8729], [0.0000, -2.1175, 8.8729]], "species": ["Pa", "Pa", "Se", "I"], "frac_coords": [[0.2400, 0.2400, 0.2400], [0.7600, 0.7600, 0.7600], [0.5000, 0.5000, 0.5000], [0.0000, 0.0000, 0.0000]]}


4.
{"formula": "PaSe3I", "functional": "PBE-GGA", "state": "optimized geometry", "magnetic_moment_mub_per_fu": 0.00, "formation_energy_uncorrected_ev_per_atom": -0.913, "space_group": "P2_1/m, No. 11", "rho_g_cm3": 5.761, "energy_ev_per_atom": -5.213, "cell": [[4.1042, 0.0000, 0.0000], [0.0000, 9.4586, 0.0000], [-0.9080, 0.0000, 8.8325]], "species": ["Pa", "Pa", "Se", "Se", "Se", "Se", "Se", "Se", "I", "I"], "frac_coords": [[0.1693, 0.2500, 0.4762], [0.8307, 0.7500, 0.5238], [0.3156, 0.5565, 0.3912], [0.3156, 0.9435, 0.3912], [0.3471, 0.7500, 0.7357], [0.6529, 0.2500, 0.2643], [0.6844, 0.0565, 0.6088], [0.6844, 0.4435, 0.6088], [0.1264, 0.2500, 0.8307], [0.8736, 0.7500, 0.1693]]}